Below is TaAuSe2 after structural relaxation, with properties calculated at the GGA-PBE level.

Cell lengths 3.358, 5.016, 10.319 Å; angles 90.00, 90.00, 90.00 degrees
Fractional coordinates of all 8 atoms:
Ta 0.000 0.000 0.000
Ta 0.500 0.500 0.000
Au 0.000 0.000 0.500
Au 0.500 0.500 0.500
Se 0.000 0.500 0.194
Se 0.000 0.500 0.806
Se 0.500 0.000 0.194
Se 0.500 0.000 0.806

Calculated values
ΔE to the lowest computed polymorph   486.1 meV/atom
Space group   Cmmm (65)

***

Below is SbP2Ir after structural relaxation, with properties calculated at the GGA-PBE level.

Cell lengths 5.165, 5.165, 5.299 Å; angles 90.00, 90.00, 90.00 degrees
Fractional coordinates of all 8 atoms:
Sb 0.000 0.000 0.000
Sb 0.500 0.500 0.500
P 0.000 0.500 0.000
P 0.000 0.500 0.500
P 0.500 0.000 0.000
P 0.500 0.000 0.500
Ir 0.000 0.000 0.500
Ir 0.500 0.500 0.000

Calculated values
Energy   -23.08 eV/f.u.
Space group   I4/mmm (139)

***

Below is NpTcSnRu after structural relaxation, with properties calculated at the GGA-PBE level.

Cell lengths 6.616, 6.616, 6.616 Å; angles 90.00, 90.00, 90.00 degrees
Fractional coordinates of all 16 atoms:
Np 0.000 0.000 0.000
Np 0.000 0.500 0.500
Np 0.500 0.000 0.500
Np 0.500 0.500 0.000
Tc 0.250 0.250 0.250
Tc 0.250 0.750 0.750
Tc 0.750 0.250 0.750
Tc 0.750 0.750 0.250
Sn 0.000 0.000 0.500
Sn 0.000 0.500 0.000
Sn 0.500 0.000 0.000
Sn 0.500 0.500 0.500
Ru 0.250 0.250 0.750
Ru 0.250 0.750 0.250
Ru 0.750 0.250 0.250
Ru 0.750 0.750 0.750

Calculated values
Formation enthalpy at 0 K   -0.450 eV/f.u.
Space group   F-43m (216)

***

Below is CaAgSe2O8 after structural relaxation, with properties calculated at the GGA-PBE level.

Cell lengths 7.815, 7.815, 7.815 Å; angles 38.24, 38.24, 38.24 degrees
Fractional coordinates of all 12 atoms:
Ca 0.000 0.000 0.000
Ag 0.500 0.500 0.500
Se 0.254 0.254 0.254
Se 0.746 0.746 0.746
O 0.062 0.437 0.808
O 0.192 0.938 0.563
O 0.331 0.331 0.331
O 0.437 0.808 0.062
O 0.563 0.192 0.938
O 0.669 0.669 0.669
O 0.808 0.062 0.437
O 0.938 0.563 0.192

Calculated values
Energy   -62.23 eV/f.u.
Space group   R-3 (148)

***

Please write out number 4 again, unchanged.
Below is CaAgSe2O8 after structural relaxation, with properties calculated at the GGA-PBE level.

Cell lengths 7.815, 7.815, 7.815 Å; angles 38.24, 38.24, 38.24 degrees
Fractional coordinates of all 12 atoms:
Ca 0.000 0.000 0.000
Ag 0.500 0.500 0.500
Se 0.254 0.254 0.254
Se 0.746 0.746 0.746
O 0.062 0.437 0.808
O 0.192 0.938 0.563
O 0.331 0.331 0.331
O 0.437 0.808 0.062
O 0.563 0.192 0.938
O 0.669 0.669 0.669
O 0.808 0.062 0.437
O 0.938 0.563 0.192

Calculated values
Energy   -62.23 eV/f.u.
Space group   R-3 (148)

***

What did the first record say?
Below is TaAuSe2 after structural relaxation, with properties calculated at the GGA-PBE level.

Cell lengths 3.358, 5.016, 10.319 Å; angles 90.00, 90.00, 90.00 degrees
Fractional coordinates of all 8 atoms:
Ta 0.000 0.000 0.000
Ta 0.500 0.500 0.000
Au 0.000 0.000 0.500
Au 0.500 0.500 0.500
Se 0.000 0.500 0.194
Se 0.000 0.500 0.806
Se 0.500 0.000 0.194
Se 0.500 0.000 0.806

Calculated values
ΔE to the lowest computed polymorph   486.1 meV/atom
Space group   Cmmm (65)